# 1
Here is Ti2CdBr after structural relaxation from the Alexandria database. Energies are from GGA-PBE.

The raw formation energy is 0.414 eV per atom. As for the crystal system: tetragonal.

The structure belongs to space group I-42d (No. 122); the cell edges are 4.151, 4.151 and 19.864 Å and the angles 90.00°, 90.00° and 90.00°. The asymmetric unit holds Ti at (0.247, 0.250, 0.125), Cd at (0.000, 0.000, 0.500) and Br at (0.000, 0.000, 0.000).

# 2
Here is TiCdBr2 after structural relaxation from the Alexandria database. Energies are from GGA-PBE.

The raw formation energy is -0.203 eV per atom. As for the crystal system: trigonal.

The structure belongs to space group R-3m (No. 166, hexagonal axes); the cell edges are 3.5390, 3.5390 and 33.2152 Å and the angles 90.00°, 90.00° and 120.00°. The asymmetric unit holds Ti at (0.0000, 0.0000, 0.0000), Cd at (0.0000, 0.0000, 0.5000) and Br at (0.0000, 0.0000, 0.0709).

# 3
Here is Tl4CdBr after structural relaxation from the Alexandria database. Energies are from GGA-PBE.

The raw formation energy is -0.025 eV per atom. As for the crystal system: cubic.

The structure belongs to space group F-43m (No. 216); the cell edges are 9.247, 9.247 and 9.247 Å and the angles 90.00°, 90.00° and 90.00°. The asymmetric unit holds Tl at (0.125, 0.125, 0.125), Cd at (0.000, 0.000, 0.500) and Br at (0.250, 0.250, 0.750).

# 4
Here is TlCdBr2 after structural relaxation from the Alexandria database. Energies are from GGA-PBE.

The raw formation energy is -0.436 eV per atom. As for the crystal system: trigonal.

The structure belongs to space group R-3m (No. 166, hexagonal axes); the cell edges are 4.5007, 4.5007 and 28.6441 Å and the angles 90.00°, 90.00° and 120.00°. The asymmetric unit holds Tl at (0.0000, 0.0000, 0.0000), Cd at (0.0000, 0.0000, 0.5000) and Br at (0.0000, 0.0000, 0.4053).

# 5
Here is Tl5CdBr8 after structural relaxation from the Alexandria database. Energies are from GGA-PBE.

The raw formation energy is -0.743 eV per atom. As for the crystal system: tetragonal.

The structure belongs to space group I-4 (No. 82); the cell edges are 9.533, 9.533 and 10.672 Å and the angles 90.00°, 90.00° and 90.00°. The asymmetric unit holds Tl at (0.000, 0.000, 0.000), Tl at (0.116, 0.748, 0.621), Cd at (0.000, 0.500, 0.250), Br at (0.060, 0.771, 0.304) and Br at (0.070, 0.704, 0.935).

# 6
Here is Tl2Cd2Br after structural relaxation from the Alexandria database. Energies are from GGA-PBE.

The raw formation energy is -0.167 eV per atom. As for the crystal system: tetragonal.

The structure belongs to space group I4/mmm (No. 139); the cell edges are 4.274, 4.274 and 17.327 Å and the angles 90.00°, 90.00° and 90.00°. The asymmetric unit holds Tl at (0.000, 0.000, 0.094), Cd at (0.000, 0.500, 0.250) and Br at (0.000, 0.000, 0.500).